No. 1
First-principles (SCAN) data for a PBEsol-optimized structure of Mn3OF5, as listed in Alexandria via LeMat-Bulk.

Calculated values
Its total energy is -11.465 eV per atom. The energy relative to the lowest polymorph listed for this composition is 13 meV/atom. As for the uncorrected formation energy: -2.72 eV per atom. As for the space-group type: No. 1.

Geometry as POSCAR:
```
Mn3OF5
1.0
5.751 0.000 0.000
1.863 5.447 0.000
2.141 1.470 6.940
Mn O F
6 2 10
Direct
0.000 0.000 0.000
0.012 0.031 0.500
0.320 0.338 0.181
0.363 0.359 0.675
0.680 0.657 0.825
0.703 0.642 0.353
0.597 0.560 0.625
0.989 0.366 0.339
0.054 0.670 0.673
0.124 0.136 0.701
0.229 0.242 0.975
0.313 0.701 0.995
0.402 0.947 0.338
0.443 0.425 0.372
0.650 0.033 0.687
0.680 0.297 0.010
0.775 0.743 0.053
0.921 0.905 0.302
```

***

No. 2
First-principles (SCAN) data for a PBEsol-optimized structure of Mn4O7F, as listed in Alexandria via LeMat-Bulk.

Calculated values
Its total energy is -12.173 eV per atom. The energy relative to the lowest polymorph listed for this composition is 23 meV/atom. As for the uncorrected formation energy: -2.16 eV per atom. As for the space-group type: No. 7.

Geometry as POSCAR:
```
Mn4O7F
1.0
4.347 0.000 0.000
0.000 10.732 0.000
-0.035 0.000 4.837
Mn O F
8 14 2
Direct
0.000 0.066 0.000
0.000 0.934 0.500
0.026 0.425 0.492
0.026 0.575 0.992
0.523 0.179 0.472
0.523 0.821 0.972
0.533 0.333 0.991
0.533 0.667 0.491
0.241 0.058 0.321
0.241 0.942 0.821
0.256 0.443 0.822
0.256 0.557 0.322
0.289 0.308 0.313
0.289 0.692 0.813
0.747 0.192 0.153
0.747 0.808 0.653
0.752 0.307 0.660
0.752 0.693 0.160
0.773 0.058 0.662
0.773 0.942 0.162
0.793 0.445 0.162
0.793 0.555 0.662
0.271 0.190 0.819
0.271 0.810 0.319
```

***

No. 3
First-principles (SCAN) data for a PBEsol-optimized structure of Mn4O7F, as listed in Alexandria via LeMat-Bulk.

Calculated values
Its total energy is -12.179 eV per atom. The energy relative to the lowest polymorph listed for this composition is 17 meV/atom. As for the uncorrected formation energy: -2.16 eV per atom. As for the space-group type: No. 4.

Geometry as POSCAR:
```
Mn4O7F
1.0
5.363 0.000 0.000
0.000 4.833 0.000
-0.158 0.000 8.697
Mn O F
8 14 2
Direct
0.084 0.000 0.380
0.106 0.006 0.873
0.382 0.499 0.885
0.400 0.526 0.377
0.600 0.026 0.623
0.618 0.999 0.115
0.894 0.506 0.127
0.916 0.500 0.620
0.132 0.681 0.258
0.135 0.332 0.995
0.138 0.337 0.487
0.138 0.676 0.760
0.362 0.179 0.762
0.364 0.832 0.994
0.364 0.848 0.491
0.636 0.332 0.006
0.636 0.348 0.509
0.638 0.679 0.238
0.862 0.176 0.240
0.862 0.837 0.513
0.865 0.832 0.005
0.868 0.181 0.742
0.371 0.175 0.252
0.629 0.675 0.748
```

***

No. 4
First-principles (SCAN) data for a PBEsol-optimized structure of Mn3O4F2, as listed in Alexandria via LeMat-Bulk.

Calculated values
Its total energy is -11.955 eV per atom. The energy relative to the lowest polymorph listed for this composition is 21 meV/atom. As for the uncorrected formation energy: -2.31 eV per atom. As for the space-group type: No. 4.

Geometry as POSCAR:
```
Mn3O4F2
1.0
5.422 0.000 0.000
0.000 4.499 0.000
-0.451 0.000 7.497
Mn O F
6 8 4
Direct
0.068 0.000 0.342
0.269 0.459 0.003
0.407 0.960 0.681
0.593 0.460 0.319
0.731 0.959 0.997
0.932 0.500 0.658
0.123 0.164 0.574
0.218 0.660 0.778
0.289 0.273 0.233
0.453 0.160 0.900
0.547 0.660 0.100
0.711 0.773 0.767
0.782 0.160 0.222
0.877 0.664 0.426
0.046 0.770 0.098
0.386 0.763 0.437
0.614 0.263 0.563
0.954 0.270 0.902
```